Record 1
A plane-wave DFT calculation with GGA-PBE was carried out for a geometry-optimized Pm2Al3PdPt12 structure.

As for the total energy: -5.87 eV per atom. As for the density: 12.95 g cm⁻³. The value obtained for the total magnetization is 0.0 μB/cell. The value obtained for the density of states at the Fermi level is 0.4436 states/eV/atom.

It has space group R-3m (No. 166, hexagonal axes), with a = 8.2572 Å, b = 8.2572 Å, c = 18.3624 Å, α = 90.00°, β = 90.00° and γ = 120.00°. Symmetry generates all atoms from Pm at (0.0000, 0.0000, 0.1116), Al at (0.0000, 0.5000, 0.0000), Pd at (0.0000, 0.0000, 0.5000), Pt at (0.0165, 0.5082, 0.8685) and Pt at (0.0173, 0.5086, 0.3758).

---

Record 2
A plane-wave DFT calculation with GGA-PBE was carried out for a geometry-optimized Pm2Al4PdPt3 structure.

As for the total energy: -5.86 eV per atom. As for the density: 9.47 g cm⁻³. The value obtained for the total magnetization is 0.0 μB/cell. The value obtained for the density of states at the Fermi level is 0.9078 states/eV/atom.

It has space group P-4m2 (No. 115), with a = 4.314 Å, b = 4.314 Å, c = 10.267 Å, α = 90.00°, β = 90.00° and γ = 90.00°. Symmetry generates all atoms from Pm at (0.000, 0.500, 0.249), Al at (0.000, 0.000, 0.000), Al at (0.000, 0.500, 0.626), Al at (0.500, 0.500, 0.000), Pd at (0.000, 0.000, 0.500), Pt at (0.000, 0.500, 0.868) and Pt at (0.500, 0.500, 0.500).

---

Record 3
A plane-wave DFT calculation with GGA-PBE was carried out for a geometry-optimized PmAl2Pd2Pt structure.

As for the total energy: -5.44 eV per atom. As for the density: 8.17 g cm⁻³. The value obtained for the total magnetization is 0.0 μB/cell. The value obtained for the density of states at the Fermi level is 0.4501 states/eV/atom.

It has space group P4/mmm (No. 123), with a = 4.686 Å, b = 4.686 Å, c = 5.619 Å, α = 90.00°, β = 90.00° and γ = 90.00°. Symmetry generates all atoms from Pm at (0.000, 0.000, 0.000), Al at (0.000, 0.500, 0.500), Pd at (0.500, 0.500, 0.245) and Pt at (0.000, 0.000, 0.500).

---

Record 4
A plane-wave DFT calculation with GGA-PBE was carried out for a geometry-optimized PmAl4Pd2Pt structure.

As for the total energy: -5.33 eV per atom. As for the density: 7.66 g cm⁻³. The value obtained for the total magnetization is 0.0 μB/cell. The value obtained for the density of states at the Fermi level is 0.4519 states/eV/atom.

It has space group R-3m (No. 166, hexagonal axes), with a = 4.2916 Å, b = 4.2916 Å, c = 26.9421 Å, α = 90.00°, β = 90.00° and γ = 120.00°. Symmetry generates all atoms from Pm at (0.0000, 0.0000, 0.0000), Al at (0.0000, 0.0000, 0.1335), Al at (0.0000, 0.0000, 0.4038), Pd at (0.0000, 0.0000, 0.2382) and Pt at (0.0000, 0.0000, 0.5000).

---

Record 5
A plane-wave DFT calculation with GGA-PBE was carried out for a geometry-optimized PmAlPdRh structure.

As for the total energy: -5.96 eV per atom. As for the density: 8.56 g cm⁻³. The value obtained for the total magnetization is 0.0 μB/cell. The value obtained for the density of states at the Fermi level is 0.7888 states/eV/atom.

It has space group F-43m (No. 216), with a = 6.663 Å, b = 6.663 Å, c = 6.663 Å, α = 90.00°, β = 90.00° and γ = 90.00°. Symmetry generates all atoms from Pm at (0.000, 0.000, 0.000), Al at (0.000, 0.000, 0.500), Pd at (0.250, 0.250, 0.750) and Rh at (0.250, 0.250, 0.250).

---

Record 6
A plane-wave DFT calculation with GGA-PBE was carried out for a geometry-optimized Pm2AlPdS5 structure.

As for the density: 5.00 g cm⁻³. The value obtained for the total magnetization is 0.0 μB/cell. The value obtained for the density of states at the Fermi level is 0.2847 states/eV/atom. As for the formation energy from raw total energies: -1405 meV/atom.

It has space group Cmc2_1 (No. 36), with a = 3.829 Å, b = 18.399 Å, c = 11.007 Å, α = 90.00°, β = 90.00° and γ = 90.00°. Symmetry generates all atoms from Pm at (0.000, 0.103, 0.000), Pm at (0.000, 0.111, 0.618), Al at (0.000, 0.411, 0.790), Pd at (0.000, 0.245, 0.420), S at (0.000, 0.038, 0.375), S at (0.000, 0.323, 0.645), S at (0.000, 0.323, 0.956), S at (0.000, 0.360, 0.312) and S at (0.000, 0.495, 0.615).

---

Record 7
A plane-wave DFT calculation with GGA-PBE was carried out for a geometry-optimized Pm2AlSbPd6 structure.

As for the density: 9.02 g cm⁻³. The value obtained for the total magnetization is 0.0 μB/cell. The value obtained for the density of states at the Fermi level is 0.3641 states/eV/atom. As for the formation energy from raw total energies: -718 meV/atom.

It has space group P-1 (No. 2), with a = 5.528 Å, b = 6.568 Å, c = 6.658 Å, α = 85.76°, β = 65.51° and γ = 65.21°. Symmetry generates all atoms from Pm at (0.249, 0.251, 0.250), Al at (0.000, 0.000, 0.000), Sb at (0.500, 0.500, 0.500), Pd at (0.193, 0.819, 0.293), Pd at (0.241, 0.581, 0.936) and Pd at (0.305, 0.181, 0.706).

---

Record 8
A plane-wave DFT calculation with GGA-PBE was carried out for a geometry-optimized Pm2ScAl2Pd5 structure.

As for the total energy: -5.74 eV per atom. As for the density: 7.99 g cm⁻³. The value obtained for the total magnetization is 0.0 μB/cell. The value obtained for the density of states at the Fermi level is 0.5281 states/eV/atom.

It has space group P4/mbm (No. 127), with a = 10.421 Å, b = 10.421 Å, c = 3.527 Å, α = 90.00°, β = 90.00° and γ = 90.00°. Symmetry generates all atoms from Pm at (0.176, 0.324, 0.000), Sc at (0.000, 0.000, 0.000), Al at (0.123, 0.623, 0.000), Pd at (0.000, 0.500, 0.500) and Pd at (0.060, 0.792, 0.500).